# Cs4CoO5, optimized geometry, DFT PBE with a Hubbard U
data_Cs4CoO5
_chemical_formula_sum 'Cs8 Co2 O10'
_symmetry_space_group_name_H-M 'I 4'
_symmetry_Int_Tables_number 79
_cell_length_a 8.861
_cell_length_b 8.861
_cell_length_c 6.012
_cell_angle_alpha 90.00
_cell_angle_beta 90.00
_cell_angle_gamma 90.00
loop_
_symmetry_equiv_pos_as_xyz
'x,y,z'
'-y,x,z'
'-x,-y,z'
'y,-x,z'
'x+1/2,y+1/2,z+1/2'
'-y+1/2,x+1/2,z+1/2'
'-x+1/2,-y+1/2,z+1/2'
'y+1/2,-x+1/2,z+1/2'
loop_
_atom_site_label
_atom_site_fract_x
_atom_site_fract_y
_atom_site_fract_z
Cs1 0.099 0.290 0.000
Co1 0.000 0.000 0.446
O1 0.000 0.000 0.138
O2 0.064 0.191 0.509
# DFT total energy in eV per cell: -86.01